# 1
## Hg2Pd7Pb2 (GGA-PBE)

Data for a relaxed Hg2Pd7Pb2 crystal.

CIF file:
```
data_Hg2Pd7Pb2
_cell_length_a 8.797
_cell_length_b 9.638
_cell_length_c 5.396
_cell_angle_alpha 90.00
_cell_angle_beta 115.03
_cell_angle_gamma 90.00
_symmetry_space_group_name_H-M 'C 1 2/m 1'
_symmetry_Int_Tables_number 12
loop_
_symmetry_equiv_pos_as_xyz
'x,y,z'
'-x,-y,-z'
'-x,y,-z'
'x,-y,z'
'x+1/2,y+1/2,z'
'-x+1/2,-y+1/2,-z'
'-x+1/2,y+1/2,-z'
'x+1/2,-y+1/2,z'
loop_
_atom_site_label
_atom_site_type_symbol
_atom_site_fract_x
_atom_site_fract_y
_atom_site_fract_z
Hg1 Hg 0.136 0.000 0.390
Pd1 Pd 0.000 0.500 0.500
Pd2 Pd 0.173 0.257 0.681
Pd3 Pd 0.233 0.000 0.964
Pb1 Pb 0.000 0.315 0.000
```

Its calculated formation energy is -134 meV/atom. For the size of the total moment, the calculation gives 0.000 μB/atom.

***

# 2
## HgPd2Pb2 (GGA-PBE)

Data for a relaxed HgPd2Pb2 crystal.

CIF file:
```
data_HgPd2Pb2
_cell_length_a 5.460
_cell_length_b 4.491
_cell_length_c 9.691
_cell_angle_alpha 90.00
_cell_angle_beta 95.58
_cell_angle_gamma 90.00
_symmetry_space_group_name_H-M 'P 1 21/m 1'
_symmetry_Int_Tables_number 11
loop_
_symmetry_equiv_pos_as_xyz
'x,y,z'
'-x,-y,-z'
'-x,y+1/2,-z'
'x,-y+1/2,z'
loop_
_atom_site_label
_atom_site_type_symbol
_atom_site_fract_x
_atom_site_fract_y
_atom_site_fract_z
Hg1 Hg 0.090 0.250 0.281
Pd1 Pd 0.149 0.750 0.461
Pd2 Pd 0.270 0.750 0.151
Pb1 Pb 0.246 0.250 0.962
Pb2 Pb 0.369 0.250 0.618
```

Its calculated formation energy is -163 meV/atom. For the size of the total moment, the calculation gives 0.000 μB/atom.

***

# 3
## Hg3PdPb12 (GGA-PBE)

Data for a relaxed Hg3PdPb12 crystal.

CIF file:
```
data_Hg3PdPb12
_cell_length_a 4.941
_cell_length_b 4.941
_cell_length_c 18.867
_cell_angle_alpha 90.00
_cell_angle_beta 90.00
_cell_angle_gamma 90.00
_symmetry_space_group_name_H-M 'P 4/m m m'
_symmetry_Int_Tables_number 123
_symmetry_space_group_name_Hall '-P 4 2'
loop_
_atom_site_label
_atom_site_type_symbol
_atom_site_fract_x
_atom_site_fract_y
_atom_site_fract_z
Hg1 Hg 0.000 0.000 0.000
Hg2 Hg 0.000 0.000 0.253
Pd1 Pd 0.000 0.000 0.500
Pb1 Pb 0.000 0.500 0.127
Pb2 Pb 0.000 0.500 0.387
Pb3 Pb 0.500 0.500 0.000
Pb4 Pb 0.500 0.500 0.258
Pb5 Pb 0.500 0.500 0.500
```

Its calculated formation energy is 11 meV/atom. For the size of the total moment, the calculation gives 0.000 μB/atom.